Record 1
Mg6CuSe6: relaxed, PBE-GGA.

Cell lengths 6.580, 6.580, 7.730 Å; angles 90.00, 90.00, 120.00 degrees
Fractional coordinates of all 13 atoms:
Mg 0.000 0.500 0.252
Mg 0.500 0.500 0.252
Mg 0.500 0.000 0.252
Mg 0.500 0.500 0.748
Mg 0.000 0.500 0.748
Mg 0.500 0.000 0.748
Cu 0.000 0.000 0.000
Se 0.000 0.000 0.286
Se 0.000 0.000 0.714
Se 0.667 0.333 0.000
Se 0.333 0.667 0.000
Se 0.667 0.333 0.500
Se 0.333 0.667 0.500

## Properties
* volume: 22.30 Å³/atom
* space-group type: P6/mmm

Record 2
Rb3Ho3VS8: relaxed, PBE-GGA.

Cell lengths 7.814, 7.814, 9.044 Å; angles 115.61, 90.00, 120.00 degrees
Last column: magnetic moment on the atom in μB.
Fractional coordinates of all 15 atoms:
Rb 0.000 0.000 0.000  0.00
Rb 0.000 0.500 0.000  0.00
Rb 0.500 0.500 0.000  0.00
Ho 0.500 0.000 0.500  0.01
Ho 0.500 0.500 0.500  0.01
Ho 0.000 0.500 0.500  0.01
V 0.000 0.000 0.500  1.12
S 0.269 0.538 0.307  -0.01
S 0.731 0.462 0.693  -0.01
S 0.789 0.578 0.323  -0.03
S 0.211 0.422 0.677  -0.03
S 0.789 0.033 0.323  -0.03
S 0.211 0.967 0.677  -0.03
S 0.244 0.033 0.323  -0.03
S 0.756 0.967 0.677  -0.03

## Properties
* volume: 27.63 Å³/atom
* space-group type: R-3m

Record 3
DyHoTmSc: relaxed, PBE-GGA.

Cell lengths 4.900, 4.902, 5.962 Å; angles 114.27, 114.27, 90.00 degrees
Fractional coordinates of all 4 atoms:
Dy 0.370 0.870 0.740
Ho 0.120 0.120 0.240
Tm 0.620 0.620 0.239
Sc 0.870 0.370 0.740

## Properties
* energy of formation from the pure elements: 4.2 kJ per mole of atoms
* volume: 29.13 Å³/atom
* space-group type: I-4m2

Record 4
Re2As2Rh: relaxed, PBE-GGA.

Cell lengths 4.230, 4.230, 5.588 Å; angles 67.76, 67.76, 90.00 degrees
Fractional coordinates of all 5 atoms:
Re 0.750 0.250 0.500
Re 0.250 0.750 0.500
As 0.378 0.378 0.244
As 0.622 0.622 0.756
Rh 0.000 0.000 0.000

## Properties
* energy of formation from the pure elements: 46.8 kJ per mole of atoms
* volume: 16.89 Å³/atom
* space-group type: I4/mmm

Number 1: D(E_F) 3.1 states/eV per cell, electronic total energy -3.44 eV/atom. Number 2: D(E_F) 6.2 states/eV per cell, electronic total energy -5.51 eV/atom. Number 3: D(E_F) 6.3 states/eV per cell, electronic total energy -4.95 eV/atom. Number 4: D(E_F) 5.8 states/eV per cell, electronic total energy -7.82 eV/atom.